Rb2CrF8 (GGA+U, relaxed); DFT total energy = -4.4032 eV per atom; N(E_F) = 0.162 states/eV/atom; crystal system = monoclinic; symmetry = No. 12
1.0
4.8897 0.4571 1.5909
1.8353 6.8340 1.6122
0.5816 0.8570 7.1832
F Cr Rb
8 1 2
Direct
0.0159 0.9502 0.2594
0.5593 0.5697 0.5697
0.3890 0.9086 0.9086
0.9841 0.0498 0.7406
0.9841 0.7406 0.0498
0.6110 0.0914 0.0914
0.0159 0.2594 0.9502
0.4407 0.4303 0.4303
0.0000 0.0000 0.0000
0.0460 0.3273 0.3273
0.9540 0.6727 0.6727